# 1
Here is PH2Pb after structural relaxation from the Alexandria database. Energies are from PBE-GGA.

Lattice parameters (Å, degrees): 7.722 7.722 7.722 90.00 90.00 90.00
Space group Fd-3m (No. 227, origin choice 2)
Inequivalent atoms, fractional coordinates:
P 0.125 0.125 0.125 [8 per cell]
H 0.000 0.000 0.000 [16 per cell]
Pb 0.125 0.125 0.625 [8 per cell]

M_tot, μB per formula unit: 0.0


# 2
Here is P3HPb after structural relaxation from the Alexandria database. Energies are from PBE-GGA.

Lattice parameters (Å, degrees): 4.315 4.315 4.315 90.00 90.00 90.00
Space group Pm-3m (No. 221)
Inequivalent atoms, fractional coordinates:
P 0.000 0.000 0.500 [3 per cell]
H 0.000 0.000 0.000 [1 per cell]
Pb 0.500 0.500 0.500 [1 per cell]

M_tot, μB per formula unit: 0.0


# 3
Here is P2H8Pb after structural relaxation from the Alexandria database. Energies are from PBE-GGA.

Lattice parameters (Å, degrees): 3.961 3.969 12.558 85.00 89.71 60.81
Space group P-1 (No. 2)
Inequivalent atoms, fractional coordinates:
P 0.181 0.484 0.145 [2 per cell]
H 0.005 0.706 0.800 [2 per cell]
H 0.328 0.532 0.243 [2 per cell]
H 0.345 0.313 0.565 [2 per cell]
H 0.477 0.873 0.869 [2 per cell]
Pb 0.000 0.000 0.500 [1 per cell]

M_tot, μB per formula unit: 0.0


# 4
Here is PH2Pb after structural relaxation from the Alexandria database. Energies are from PBE-GGA.

Lattice parameters (Å, degrees): 5.943 5.943 5.943 90.00 90.00 90.00
Space group Fm-3m (No. 225)
Inequivalent atoms, fractional coordinates:
P 0.000 0.000 0.000 [4 per cell]
H 0.250 0.250 0.250 [8 per cell]
Pb 0.000 0.000 0.500 [4 per cell]

M_tot, μB per formula unit: 0.0


# 5
Here is PHPb after structural relaxation from the Alexandria database. Energies are from PBE-GGA.

Lattice parameters (Å, degrees): 7.338 4.238 9.546 90.00 90.31 90.00
Space group C2/m (No. 12)
Inequivalent atoms, fractional coordinates:
P 0.167 0.000 0.300 [4 per cell]
H 0.168 0.000 0.450 [4 per cell]
Pb 0.167 0.000 0.830 [4 per cell]

M_tot, μB per formula unit: 0.0


# 6
Here is P3HPb after structural relaxation from the Alexandria database. Energies are from PBE-GGA.

Lattice parameters (Å, degrees): 5.357 5.357 5.357 90.00 90.00 90.00
Space group Pm-3m (No. 221)
Inequivalent atoms, fractional coordinates:
P 0.000 0.000 0.500 [3 per cell]
H 0.500 0.500 0.500 [1 per cell]
Pb 0.000 0.000 0.000 [1 per cell]

M_tot, μB per formula unit: 3.4


# 7
Here is PHPd6Pb2 after structural relaxation from the Alexandria database. Energies are from PBE-GGA.

Lattice parameters (Å, degrees): 6.2979 6.2979 28.9515 90.00 90.00 120.00
Space group R-3m (No. 166, hexagonal axes)
Inequivalent atoms, fractional coordinates:
P 0.0000 0.0000 0.0880 [6 per cell]
H 0.0000 0.0000 0.0000 [3 per cell]
H 0.0000 0.0000 0.5000 [3 per cell]
Pd 0.0073 0.5037 0.3728 [18 per cell]
Pd 0.0317 0.5158 0.2080 [18 per cell]
Pb 0.0000 0.0000 0.2099 [6 per cell]
Pb 0.0000 0.0000 0.3744 [6 per cell]

M_tot, μB per formula unit: 0.0


# 8
Here is P2HPbS6 after structural relaxation from the Alexandria database. Energies are from PBE-GGA.

Lattice parameters (Å, degrees): 12.686 13.182 7.083 90.00 118.65 90.00
Space group C2/c (No. 15)
Inequivalent atoms, fractional coordinates:
P 0.201 0.059 0.131 [8 per cell]
H 0.000 0.162 0.750 [4 per cell]
Pb 0.000 0.408 0.250 [4 per cell]
S 0.110 0.189 0.995 [8 per cell]
S 0.115 0.414 0.729 [8 per cell]
S 0.157 0.063 0.439 [8 per cell]

M_tot, μB per formula unit: 0.0


# 9
Here is P2HPbS after structural relaxation from the Alexandria database. Energies are from PBE-GGA.

Lattice parameters (Å, degrees): 3.861 3.861 6.403 90.00 90.00 90.00
Space group P4/mmm (No. 123)
Inequivalent atoms, fractional coordinates:
P 0.000 0.500 0.000 [2 per cell]
H 0.000 0.000 0.000 [1 per cell]
Pb 0.500 0.500 0.500 [1 per cell]
S 0.000 0.000 0.500 [1 per cell]

M_tot, μB per formula unit: 0.0


# 10
Here is P2HPbS after structural relaxation from the Alexandria database. Energies are from PBE-GGA.

Lattice parameters (Å, degrees): 5.406 5.406 5.302 90.00 90.00 90.00
Space group P4/mmm (No. 123)
Inequivalent atoms, fractional coordinates:
P 0.000 0.500 0.000 [2 per cell]
H 0.000 0.000 0.500 [1 per cell]
Pb 0.500 0.500 0.000 [1 per cell]
S 0.500 0.500 0.500 [1 per cell]

M_tot, μB per formula unit: 3.3


# 11
Here is PH2PbS after structural relaxation from the Alexandria database. Energies are from PBE-GGA.

Lattice parameters (Å, degrees): 4.036 4.036 5.135 90.00 90.00 90.00
Space group P4/mmm (No. 123)
Inequivalent atoms, fractional coordinates:
P 0.000 0.000 0.000 [1 per cell]
H 0.000 0.500 0.000 [2 per cell]
Pb 0.500 0.500 0.500 [1 per cell]
S 0.000 0.000 0.500 [1 per cell]

M_tot, μB per formula unit: 0.0


# 12
Here is TePHPb2 after structural relaxation from the Alexandria database. Energies are from PBE-GGA.

Lattice parameters (Å, degrees): 5.937 5.937 3.443 90.00 90.00 90.00
Space group P4/mmm (No. 123)
Inequivalent atoms, fractional coordinates:
Te 0.000 0.000 0.000 [1 per cell]
P 0.500 0.500 0.500 [1 per cell]
H 0.500 0.500 0.000 [1 per cell]
Pb 0.000 0.500 0.500 [2 per cell]

M_tot, μB per formula unit: 0.0


| no. | VASP energy (eV per atom) |
| --- | --- |
| 1 | -3.5609 |
| 2 | -3.8246 |
| 3 | -3.6193 |
| 4 | -3.1454 |
| 5 | -4.0632 |
| 6 | -2.7508 |
| 7 | -4.9686 |
| 8 | -4.3806 |
| 9 | -3.8051 |
| 10 | -2.7821 |
| 11 | -3.6282 |
| 12 | -3.7560 |